<a>
A relaxed structure of Pa3Ga2, computed with PBE.

Cell lengths 5.0633, 5.0633, 5.0633 Å; angles 74.18, 74.18, 74.18 degrees
Fractional positions:
Pa (0.0000, 0.5000, 0.0000)
Pa (0.0000, 0.0000, 0.5000)
Pa (0.5000, 0.0000, 0.0000)
Ga (0.6103, 0.6103, 0.6103)
Ga (0.3897, 0.3897, 0.3897)

Values from the calculation:
**Space group**: R-3m (166)


<b>
A relaxed structure of Pa3Ga2, computed with PBE.

Cell lengths 4.5314, 5.6262, 5.6262 Å; angles 68.40, 66.25, 66.25 degrees
Fractional positions:
Pa (0.0000, 0.0000, 0.0000)
Pa (0.7976, 0.7024, 0.7024)
Pa (0.2024, 0.2976, 0.2976)
Ga (0.5000, 0.2982, 0.7018)
Ga (0.5000, 0.7018, 0.2982)

Values from the calculation:
**Space group**: Immm (71)


Decreasing stability: <b>, <a>


<a>
A relaxed structure of PaGa2Pb, computed with PBE.

Cell lengths 3.6821, 3.6821, 6.7843 Å; angles 90.00, 90.00, 90.00 degrees
Fractional positions:
Pb (0.5000, 0.5000, 0.5000)
Pa (0.5000, 0.5000, 0.0000)
Ga (0.0000, 0.0000, 0.7469)
Ga (0.0000, 0.0000, 0.2531)

Values from the calculation:
**Space group**: P4/mmm (123)


<b>
A relaxed structure of PaGa2Pb, computed with PBE.

Cell lengths 5.0858, 5.0858, 5.0840 Å; angles 59.99, 59.99, 60.00 degrees
Fractional positions:
Pb (0.0000, 0.0000, 0.0000)
Pa (0.5000, 0.5000, 0.5000)
Ga (0.7500, 0.7500, 0.7501)
Ga (0.2500, 0.2500, 0.2499)

Values from the calculation:
**Space group**: Fm-3m (225)


<c>
A relaxed structure of PaGa2Pb, computed with PBE.

Cell lengths 4.3290, 4.5555, 4.5555 Å; angles 90.00, 90.00, 90.00 degrees
Fractional positions:
Pb (0.5000, 0.5000, 0.5000)
Pa (0.5000, 0.0000, 0.0000)
Ga (0.0000, 0.0000, 0.5000)
Ga (0.0000, 0.5000, 0.0000)

Values from the calculation:
**Space group**: P4/mmm (123)


Decreasing stability: <c>, <a>, <b>


<a>
A relaxed structure of PaGa3Pd, computed with PBE.

Cell lengths 3.7148, 4.3301, 12.2955 Å; angles 100.14, 90.00, 90.00 degrees
Fractional positions:
Pa (0.5000, 0.8329, 0.6658)
Pa (0.5000, 0.1671, 0.3342)
Ga (0.0000, 0.0545, 0.1089)
Ga (0.0000, 0.9455, 0.8911)
Ga (0.0000, 0.2747, 0.5495)
Ga (0.0000, 0.7253, 0.4505)
Ga (0.5000, 0.4490, 0.8980)
Ga (0.5000, 0.5510, 0.1020)
Pd (0.0000, 0.6221, 0.2442)
Pd (0.0000, 0.3779, 0.7558)

Values from the calculation:
**Space group**: Cmmm (65)


<b>
A relaxed structure of PaGa3Pd, computed with PBE.

Cell lengths 4.2795, 4.2795, 5.9909 Å; angles 110.93, 110.93, 90.00 degrees
Fractional positions:
Pa (0.9984, 0.9984, 0.9968)
Ga (0.2660, 0.7660, 0.5320)
Ga (0.7660, 0.2660, 0.5320)
Ga (0.4143, 0.4143, 0.8286)
Pd (0.6455, 0.6455, 0.2910)

Values from the calculation:
**Space group**: I4mm (107)


Decreasing stability: <b>, <a>


<a>
A relaxed structure of PaGa3Pd3, computed with PBE.

Cell lengths 6.8457, 6.8457, 7.3926 Å; angles 62.42, 62.42, 60.00 degrees
Fractional positions:
Pa (0.3399, 0.3399, 0.9803)
Pa (0.6601, 0.6601, 0.0197)
Ga (0.5725, 0.7370, 0.6174)
Ga (0.7370, 0.0730, 0.6174)
Ga (0.0730, 0.5725, 0.6174)
Ga (0.9270, 0.4275, 0.3826)
Ga (0.2630, 0.9270, 0.3826)
Ga (0.4275, 0.2630, 0.3826)
Pd (0.1893, 0.7116, 0.1949)
Pd (0.9042, 0.1893, 0.1949)
Pd (0.7116, 0.9042, 0.1949)
Pd (0.2884, 0.0958, 0.8051)
Pd (0.0958, 0.8107, 0.8051)
Pd (0.8107, 0.2884, 0.8051)

Values from the calculation:
**Space group**: R-3 (148)


<b>
A relaxed structure of PaGa3Pd3, computed with PBE.

Cell lengths 6.7657, 6.7657, 6.7657 Å; angles 90.00, 90.00, 90.00 degrees
Fractional positions:
Pa (0.5000, 0.5000, 0.5000)
Pa (0.0000, 0.0000, 0.0000)
Ga (0.0000, 0.2500, 0.5000)
Ga (0.0000, 0.7500, 0.5000)
Ga (0.5000, 0.0000, 0.7500)
Ga (0.7500, 0.5000, 0.0000)
Ga (0.5000, 0.0000, 0.2500)
Ga (0.2500, 0.5000, 0.0000)
Pd (0.2500, 0.0000, 0.5000)
Pd (0.0000, 0.5000, 0.2500)
Pd (0.5000, 0.7500, 0.0000)
Pd (0.7500, 0.0000, 0.5000)
Pd (0.0000, 0.5000, 0.7500)
Pd (0.5000, 0.2500, 0.0000)

Values from the calculation:
**Space group**: Pm-3n (223)


Decreasing stability: <a>, <b>